w) First-principles (PBE-GGA) data for Er4Mg2In after structural relaxation, as listed in Alexandria.

DOS at the Fermi energy = 1.33 states/eV/atom
space group = R-3m

Cell lengths 5.2303, 5.2303, 8.9194 Å; angles 72.95, 72.95, 60.00 degrees
Sites, in units of the cell vectors:
Mg1 0.7443 0.7443 0.7671
Er1 0.3848 0.3848 0.8457
Er2 0.1298 0.1298 0.6105
Mg2 0.2557 0.2557 0.2329
Er3 0.8702 0.8702 0.3895
Er4 0.6152 0.6152 0.1543
In1 0.0000 0.0000 0.0000

x) First-principles (PBE-GGA) data for Er4Mg2In after structural relaxation, as listed in Alexandria.

DOS at the Fermi energy = 1.26 states/eV/atom
space group = R-3m

Cell lengths 5.1273, 5.1273, 10.0125 Å; angles 75.16, 75.16, 60.00 degrees
Sites, in units of the cell vectors:
Er1 0.6257 0.6257 0.1230
Er2 0.2053 0.2053 0.3842
Mg1 0.0954 0.0954 0.7139
In1 0.0000 0.0000 0.0000
Er3 0.7947 0.7947 0.6158
Mg2 0.9046 0.9046 0.2861
Er4 0.3743 0.3743 0.8770

It turns out w) is the most stable, with the second structure 0.207 eV/atom higher.

w) First-principles (PBE-GGA) data for ErMg3In after structural relaxation, as listed in Alexandria.

DOS at the Fermi energy = 0.66 states/eV/atom
space group = Cmmm

Cell lengths 3.5693, 5.0042, 14.4992 Å; angles 99.94, 90.00, 90.00 degrees
Sites, in units of the cell vectors:
Mg1 0.0000 0.2715 0.5430
Mg2 0.5000 0.4504 0.9007
Er1 0.5000 0.1662 0.3323
Er2 0.5000 0.8338 0.6677
Mg3 0.0000 0.7285 0.4570
Mg4 0.0000 0.0611 0.1222
In1 0.0000 0.3698 0.7396
In2 0.0000 0.6302 0.2604
Mg5 0.0000 0.9389 0.8778
Mg6 0.5000 0.5496 0.0993

x) First-principles (PBE-GGA) data for ErMg3In after structural relaxation, as listed in Alexandria.

DOS at the Fermi energy = 0.47 states/eV/atom
space group = P-1

Cell lengths 4.9555, 6.1244, 14.7136 Å; angles 85.70, 134.54, 118.47 degrees
Sites, in units of the cell vectors:
Mg1 0.0000 0.0000 0.0000
Mg2 0.0881 0.2840 0.4712
Mg3 0.0473 0.7182 0.3607
In1 0.2654 0.7723 0.2234
In2 0.7346 0.2277 0.7766
Mg4 0.0000 0.5000 0.0000
Mg5 0.9119 0.7160 0.5288
Er1 0.9673 0.8185 0.7751
Mg6 0.9527 0.2818 0.6393
Er2 0.0327 0.1815 0.2249

It turns out w) is the most stable, with the second structure 0.011 eV/atom higher.

w) First-principles (PBE-GGA) data for Er3MgIn2 after structural relaxation, as listed in Alexandria.

DOS at the Fermi energy = 0.67 states/eV/atom
space group = P-3m1

Cell lengths 5.2713, 5.2713, 12.9008 Å; angles 90.00, 90.00, 120.00 degrees
Sites, in units of the cell vectors:
Er1 0.0000 0.0000 0.2484
Er2 0.0000 0.0000 0.7516
In1 0.0000 0.0000 0.0000
In2 0.3333 0.6667 0.1758
Er3 0.6667 0.3333 0.5810
In3 0.6667 0.3333 0.8242
Mg1 0.3333 0.6667 0.6686
In4 0.0000 0.0000 0.5000
Er4 0.3333 0.6667 0.9194
Mg2 0.6667 0.3333 0.3314
Er5 0.6667 0.3333 0.0806
Er6 0.3333 0.6667 0.4190

x) First-principles (PBE-GGA) data for Er3MgIn2 after structural relaxation, as listed in Alexandria.

DOS at the Fermi energy = 0.77 states/eV/atom
space group = P4/mmm

Cell lengths 3.7208, 3.7208, 11.2625 Å; angles 90.00, 90.00, 90.00 degrees
Sites, in units of the cell vectors:
Mg1 0.5000 0.5000 0.5000
Er1 0.0000 0.0000 0.0000
In1 0.5000 0.5000 0.8272
Er2 0.0000 0.0000 0.6629
Er3 0.0000 0.0000 0.3371
In2 0.5000 0.5000 0.1728

It turns out w) is the most stable, with the second structure 0.016 eV/atom higher.

w) First-principles (PBE-GGA) data for Er2MgIn after structural relaxation, as listed in Alexandria.

DOS at the Fermi energy = 1.22 states/eV/atom
space group = Cm

Cell lengths 3.5273, 3.5273, 10.6276 Å; angles 80.50, 80.50, 60.02 degrees
Sites, in units of the cell vectors:
In1 0.6666 0.6666 0.0000
Er1 0.0790 0.0790 0.7614
Mg1 0.5004 0.5004 0.4996
Er2 0.2541 0.2541 0.2390

x) First-principles (PBE-GGA) data for Er2MgIn after structural relaxation, as listed in Alexandria.

DOS at the Fermi energy = 0.69 states/eV/atom
space group = Fm-3m

Cell lengths 5.2682, 5.2682, 5.2682 Å; angles 60.00, 60.00, 60.00 degrees
Sites, in units of the cell vectors:
Er1 0.7500 0.7500 0.7500
In1 0.5000 0.5000 0.5000
Mg1 0.0000 0.0000 0.0000
Er2 0.2500 0.2500 0.2500

It turns out x) is the most stable, with the second structure 0.207 eV/atom higher.

w) First-principles (PBE-GGA) data for ErMgInPb after structural relaxation, as listed in Alexandria.

DOS at the Fermi energy = 0.44 states/eV/atom
space group = Pmmm

Cell lengths 4.4836, 4.6595, 4.8331 Å; angles 90.00, 90.00, 90.00 degrees
Sites, in units of the cell vectors:
Er1 0.0000 0.5000 0.5000
Pb1 0.5000 0.0000 0.5000
In1 0.5000 0.5000 0.0000
Mg1 0.0000 0.0000 0.0000

x) First-principles (PBE-GGA) data for ErMgInPb after structural relaxation, as listed in Alexandria.

DOS at the Fermi energy = 0.94 states/eV/atom
space group = F-43m

Cell lengths 5.2961, 5.2961, 5.2961 Å; angles 60.00, 60.00, 60.00 degrees
Sites, in units of the cell vectors:
Pb1 0.2500 0.2500 0.2500
Mg1 0.0000 0.0000 0.0000
In1 0.7500 0.7500 0.7500
Er1 0.5000 0.5000 0.5000

It turns out w) is the most stable, with the second structure 0.145 eV/atom higher.

w) First-principles (PBE-GGA) data for ErMgInSn after structural relaxation, as listed in Alexandria.

DOS at the Fermi energy = 0.47 states/eV/atom
space group = Pmmm

Cell lengths 4.4333, 4.5915, 4.7478 Å; angles 90.00, 90.00, 90.00 degrees
Sites, in units of the cell vectors:
Sn1 0.5000 0.0000 0.5000
In1 0.5000 0.5000 0.0000
Er1 0.0000 0.5000 0.5000
Mg1 0.0000 0.0000 0.0000

x) First-principles (PBE-GGA) data for ErMgInSn after structural relaxation, as listed in Alexandria.

DOS at the Fermi energy = 0.99 states/eV/atom
space group = F-43m

Cell lengths 5.2249, 5.2249, 5.2249 Å; angles 60.00, 60.00, 60.00 degrees
Sites, in units of the cell vectors:
Er1 0.0000 0.0000 0.0000
Mg1 0.5000 0.5000 0.5000
Sn1 0.2500 0.2500 0.2500
In1 0.7500 0.7500 0.7500

It turns out w) is the most stable, with the second structure 0.177 eV/atom higher.